LiAg2MoF6 | PBE+U | relaxed

Summary:
The total magnetization comes out at 6.00 μB per cell. The value obtained for the calculated volume is 13.58 Å³/atom. Its space group is P2_1/c (14). As for the crystal system: monoclinic. The total energy is -4.615 eV per atom.

a b c (Å): 5.748 5.792 8.158
angles (deg): 90.00 89.44 90.00
Fractional positions:
Li 0.500 0.000 0.000
Li 0.000 0.500 0.500
Ag 0.011 0.961 0.251
Ag 0.511 0.539 0.751
Ag 0.989 0.039 0.749
Ag 0.489 0.461 0.249
Mo 0.500 0.000 0.500
Mo 0.000 0.500 0.000
F 0.291 0.712 0.045
F 0.791 0.788 0.545
F 0.709 0.288 0.955
F 0.209 0.212 0.455
F 0.289 0.711 0.450
F 0.789 0.789 0.950
F 0.711 0.289 0.550
F 0.211 0.211 0.050
F 0.909 0.523 0.251
F 0.409 0.977 0.751
F 0.091 0.477 0.749
F 0.591 0.023 0.249